# 1
Compound: SrTa3Sb
Source: the Alexandria database
Functional: PBE
Structure: relaxed

Lattice parameters (Å, degrees): 4.954 4.954 4.954 90.00 90.00 90.00
Fractional coordinates of all 5 atoms:
Sr  0.000  0.000  0.000
Ta  0.000  0.000  0.500
Ta  0.000  0.500  0.000
Ta  0.500  0.000  0.000
Sb  0.500  0.500  0.500

Summary:
As for the symmetry: Pm-3m. For the calculated volume, the calculation gives 121.6 Å³/cell. The value obtained for the uncorrected formation energy is 2.754 eV per atom.

# 2
Compound: SrTa3Si
Source: the Alexandria database
Functional: PBE
Structure: relaxed

Lattice parameters (Å, degrees): 4.858 4.858 4.858 90.00 90.00 90.00
Fractional coordinates of all 5 atoms:
Sr  0.000  0.000  0.000
Ta  0.000  0.000  0.500
Ta  0.000  0.500  0.000
Ta  0.500  0.000  0.000
Si  0.500  0.500  0.500

Summary:
As for the symmetry: Pm-3m. For the calculated volume, the calculation gives 114.7 Å³/cell. The value obtained for the uncorrected formation energy is 3.062 eV per atom.

# 3
Compound: PbAu2O4
Source: the Alexandria database
Functional: PBE
Structure: relaxed

Lattice parameters (Å, degrees): 6.035 6.035 6.035 109.42 109.42 109.57
Fractional coordinates of all 7 atoms:
Pb  0.000  0.000  0.000
Au  0.250  0.750  0.500
Au  0.750  0.250  0.500
O  0.000  0.328  0.328
O  0.000  0.672  0.672
O  0.328  0.000  0.328
O  0.672  0.000  0.672

Summary:
As for the symmetry: I4/mmm. For the calculated volume, the calculation gives 169.2 Å³/cell. The value obtained for the uncorrected formation energy is 0.114 eV per atom.